Entry 1:
Below is crystalline GaAgPb at its relaxed geometry, with properties calculated at the PBE level.

a b c (Å): 4.217 4.216 7.703
angles (deg): 89.98 89.97 90.00
Element x y z (fractional)
Pb (0.058, 0.128, 0.468)
Pb (0.558, 0.627, 0.755)
Ga (0.058, 0.628, 0.113)
Ga (0.058, 0.127, 0.870)
Ag (0.558, 0.128, 0.100)
Ag (0.558, 0.628, 0.353)

* raw total energy: -3.143 eV per atom
* D(E_F): 1.47 states/eV/f.u.



Entry 2:
Below is crystalline CaMg2Al at its relaxed geometry, with properties calculated at the PBE level.

a b c (Å): 5.734 5.734 3.338
angles (deg): 90.00 90.00 112.44
Element x y z (fractional)
Al (0.500, 0.000, 0.500)
Ca (0.000, 0.500, 0.500)
Mg (0.000, 0.000, 0.000)
Mg (0.500, 0.500, 0.000)

* raw total energy: -2.142 eV per atom
* D(E_F): 2.40 states/eV/f.u.



Entry 3:
Below is crystalline Li2Pm3Ge2 at its relaxed geometry, with properties calculated at the PBE level.

a b c (Å): 4.140 6.391 7.545
angles (deg): 100.16 90.00 108.90
Element x y z (fractional)
Li (0.792, 0.585, 0.140)
Li (0.208, 0.415, 0.860)
Pm (0.500, 0.000, 0.000)
Pm (0.638, 0.275, 0.473)
Pm (0.362, 0.725, 0.527)
Ge (0.833, 0.666, 0.801)
Ge (0.167, 0.334, 0.199)

* raw total energy: -4.228 eV per atom
* D(E_F): 5.65 states/eV/f.u.



Among the records above, which one has the lowest raw total energy? Li2Pm3Ge2